RbSn3Br7 after structural relaxation, computed with PBE.

Unit cell a=9.851 b=10.987 c=7.502 alpha=90.00 beta=108.28 gamma=90.00
Space group C2/m (No. 12)
Symmetry-distinct sites (fractional):
Rb 0.000 0.000 0.000 [2 per cell]
Sn 0.000 0.273 0.500 [4 per cell]
Sn 0.000 0.500 0.000 [2 per cell]
Br 0.000 0.000 0.500 [2 per cell]
Br 0.151 0.500 0.714 [4 per cell]
Br 0.172 0.294 0.229 [8 per cell]

**Total moment**: 0.0 μB per cell
**Uncorrected energy**: -69.50 eV per cell
**ΔE_f (raw)**: -915 meV/atom

Rb4SnBr5 after structural relaxation, computed with PBE.

Unit cell a=10.767 b=10.767 c=7.135 alpha=90.00 beta=90.00 gamma=90.00
Space group I4 (No. 79)
Symmetry-distinct sites (fractional):
Rb 0.096 0.706 0.000 [8 per cell]
Sn 0.000 0.000 0.499 [2 per cell]
Br 0.000 0.000 0.998 [2 per cell]
Br 0.090 0.719 0.500 [8 per cell]

**Total moment**: 0.0 μB per cell
**Uncorrected energy**: -59.71 eV per cell
**ΔE_f (raw)**: -1362 meV/atom

RbSnBr3 after structural relaxation, computed with PBE.

Unit cell a=5.011 b=5.011 c=8.560 alpha=90.00 beta=90.00 gamma=90.00
Space group P4mm (No. 99)
Symmetry-distinct sites (fractional):
Rb 0.000 0.000 0.000 [1 per cell]
Sn 0.500 0.500 0.451 [1 per cell]
Br 0.000 0.000 0.623 [1 per cell]
Br 0.000 0.500 0.267 [2 per cell]

**Total moment**: 0.0 μB per cell
**Uncorrected energy**: -14.82 eV per cell
**ΔE_f (raw)**: -966 meV/atom